No. 1
# ScTe2Au2

ScTe2Au2 after structural relaxation (PBE, the Alexandria database).

## Properties
E, eV per atom: -3.745
SG: I4/mmm
Magnetization, μB per formula unit: 0.5
Offset from the most stable computed form, meV per atom: 386

The structure in CIF format:
```
data_ScTe2Au2
_cell_length_a 6.9612
_cell_length_b 6.9612
_cell_length_c 6.9612
_cell_angle_alpha 141.42
_cell_angle_beta 141.42
_cell_angle_gamma 55.71
_symmetry_space_group_name_H-M 'P 1'
_symmetry_Int_Tables_number 1
loop_
_symmetry_equiv_pos_as_xyz
'x,y,z'
loop_
_atom_site_label
_atom_site_fract_x
_atom_site_fract_y
_atom_site_fract_z
Sc1 0.0000 0.0000 0.0000
Te1 0.2500 0.7500 0.5000
Te2 0.7500 0.2500 0.5000
Au1 0.3947 0.3947 0.0000
Au2 0.6053 0.6053 0.0000
```

---

No. 2
# Sc2TeAu

Sc2TeAu after structural relaxation (PBE, the Alexandria database).

## Properties
E, eV per atom: -5.185
SG: R-3m
Magnetization, μB per formula unit: 0.0

The structure in CIF format:
```
data_Sc2TeAu
_cell_length_a 8.4292
_cell_length_b 8.4292
_cell_length_c 8.4292
_cell_angle_alpha 28.96
_cell_angle_beta 28.96
_cell_angle_gamma 28.96
_symmetry_space_group_name_H-M 'P 1'
_symmetry_Int_Tables_number 1
loop_
_symmetry_equiv_pos_as_xyz
'x,y,z'
loop_
_atom_site_label
_atom_site_fract_x
_atom_site_fract_y
_atom_site_fract_z
Sc1 0.1110 0.1110 0.1110
Sc2 0.8890 0.8890 0.8890
Te1 0.0000 0.0000 0.0000
Au1 0.5000 0.5000 0.5000
```

---

No. 3
# Sc2Te2Au

Sc2Te2Au after structural relaxation (PBE, the Alexandria database).

## Properties
E, eV per atom: -5.326
SG: P4/mbm
Magnetization, μB per formula unit: 0.9
Offset from the most stable computed form, meV per atom: 0

The structure in CIF format:
```
data_Sc2Te2Au
_cell_length_a 7.8232
_cell_length_b 7.8232
_cell_length_c 3.8959
_cell_angle_alpha 90.00
_cell_angle_beta 90.00
_cell_angle_gamma 90.00
_symmetry_space_group_name_H-M 'P 1'
_symmetry_Int_Tables_number 1
loop_
_symmetry_equiv_pos_as_xyz
'x,y,z'
loop_
_atom_site_label
_atom_site_fract_x
_atom_site_fract_y
_atom_site_fract_z
Sc1 0.1466 0.3534 0.0000
Sc2 0.3534 0.8534 0.0000
Sc3 0.6466 0.1466 0.0000
Sc4 0.8534 0.6466 0.0000
Te1 0.1538 0.6538 0.5000
Te2 0.3462 0.1538 0.5000
Te3 0.6538 0.8462 0.5000
Te4 0.8462 0.3462 0.5000
Au1 0.0000 0.0000 0.0000
Au2 0.5000 0.5000 0.0000
```

---

No. 4
# ScTeAu4

ScTeAu4 after structural relaxation (PBE, the Alexandria database).

## Properties
E, eV per atom: -4.004
SG: F-43m
Magnetization, μB per formula unit: 0.0

The structure in CIF format:
```
data_ScTeAu4
_cell_length_a 5.6051
_cell_length_b 5.6051
_cell_length_c 5.6051
_cell_angle_alpha 60.00
_cell_angle_beta 60.00
_cell_angle_gamma 60.00
_symmetry_space_group_name_H-M 'P 1'
_symmetry_Int_Tables_number 1
loop_
_symmetry_equiv_pos_as_xyz
'x,y,z'
loop_
_atom_site_label
_atom_site_fract_x
_atom_site_fract_y
_atom_site_fract_z
Sc1 0.0000 0.0000 0.0000
Te1 0.7500 0.7500 0.7500
Au1 0.3746 0.3746 0.3746
Au2 0.3746 0.3746 0.8761
Au3 0.3746 0.8761 0.3746
Au4 0.8761 0.3746 0.3746
```

---

No. 5
# ScTe2Au

ScTe2Au after structural relaxation (PBE, the Alexandria database).

## Properties
E, eV per atom: -4.686
SG: R-3m
Magnetization, μB per formula unit: 0.0

The structure in CIF format:
```
data_ScTe2Au
_cell_length_a 8.6983
_cell_length_b 8.6983
_cell_length_c 8.6983
_cell_angle_alpha 28.58
_cell_angle_beta 28.58
_cell_angle_gamma 28.58
_symmetry_space_group_name_H-M 'P 1'
_symmetry_Int_Tables_number 1
loop_
_symmetry_equiv_pos_as_xyz
'x,y,z'
loop_
_atom_site_label
_atom_site_fract_x
_atom_site_fract_y
_atom_site_fract_z
Sc1 0.0000 0.0000 0.0000
Te1 0.3963 0.3963 0.3963
Te2 0.6037 0.6037 0.6037
Au1 0.5000 0.5000 0.5000
```

---

No. 6
# ScTe2Au

ScTe2Au after structural relaxation (PBE, the Alexandria database).

## Properties
E, eV per atom: -4.494
SG: P2/m
Magnetization, μB per formula unit: 0.0

The structure in CIF format:
```
data_ScTe2Au
_cell_length_a 3.8489
_cell_length_b 3.7830
_cell_length_c 6.9653
_cell_angle_alpha 90.00
_cell_angle_beta 98.05
_cell_angle_gamma 90.00
_symmetry_space_group_name_H-M 'P 1'
_symmetry_Int_Tables_number 1
loop_
_symmetry_equiv_pos_as_xyz
'x,y,z'
loop_
_atom_site_label
_atom_site_fract_x
_atom_site_fract_y
_atom_site_fract_z
Sc1 0.0000 0.0000 0.0000
Te1 0.3676 0.5000 0.7641
Te2 0.6324 0.5000 0.2359
Au1 0.0000 0.0000 0.5000
```

---

No. 7
# Sc4TeAu

Sc4TeAu after structural relaxation (PBE, the Alexandria database).

## Properties
E, eV per atom: -5.258
SG: F-43m
Magnetization, μB per formula unit: 0.0

The structure in CIF format:
```
data_Sc4TeAu
_cell_length_a 5.8008
_cell_length_b 5.8008
_cell_length_c 5.8008
_cell_angle_alpha 60.00
_cell_angle_beta 60.00
_cell_angle_gamma 60.00
_symmetry_space_group_name_H-M 'P 1'
_symmetry_Int_Tables_number 1
loop_
_symmetry_equiv_pos_as_xyz
'x,y,z'
loop_
_atom_site_label
_atom_site_fract_x
_atom_site_fract_y
_atom_site_fract_z
Sc1 0.1250 0.1250 0.1250
Sc2 0.1250 0.1250 0.6251
Sc3 0.1250 0.6251 0.1250
Sc4 0.6251 0.1250 0.1250
Te1 0.7500 0.7500 0.7500
Au1 0.5000 0.5000 0.5000
```

---

No. 8
# ScTe3Au

ScTe3Au after structural relaxation (PBE, the Alexandria database).

## Properties
E, eV per atom: -4.324
SG: P2_1/c
Magnetization, μB per formula unit: 0.0
Offset from the most stable computed form, meV per atom: 0

The structure in CIF format:
```
data_ScTe3Au
_cell_length_a 7.2146
_cell_length_b 6.6183
_cell_length_c 12.5157
_cell_angle_alpha 90.00
_cell_angle_beta 111.12
_cell_angle_gamma 90.00
_symmetry_space_group_name_H-M 'P 1'
_symmetry_Int_Tables_number 1
loop_
_symmetry_equiv_pos_as_xyz
'x,y,z'
loop_
_atom_site_label
_atom_site_fract_x
_atom_site_fract_y
_atom_site_fract_z
Sc1 0.1498 0.1471 0.2195
Sc2 0.1498 0.3529 0.7195
Sc3 0.8502 0.6471 0.2805
Sc4 0.8502 0.8529 0.7805
Te1 0.1175 0.1811 0.9314
Te2 0.1175 0.3189 0.4314
Te3 0.2721 0.6809 0.8902
Te4 0.2721 0.8191 0.3902
Te5 0.4609 0.5017 0.3017
Te6 0.4609 0.9983 0.8017
Te7 0.5391 0.0017 0.1983
Te8 0.5391 0.4983 0.6983
Te9 0.7279 0.1809 0.6098
Te10 0.7279 0.3191 0.1098
Te11 0.8825 0.6811 0.5686
Te12 0.8825 0.8189 0.0686
Au1 0.1703 0.5223 0.0968
Au2 0.1703 0.9777 0.5968
Au3 0.8297 0.0223 0.4032
Au4 0.8297 0.4777 0.9032
```

---

No. 9
# ScTe3Au

ScTe3Au after structural relaxation (PBE, the Alexandria database).

## Properties
E, eV per atom: -3.604
SG: Pm-3m
Magnetization, μB per formula unit: 0.0
Offset from the most stable computed form, meV per atom: 720

The structure in CIF format:
```
data_ScTe3Au
_cell_length_a 5.3893
_cell_length_b 5.3893
_cell_length_c 5.3893
_cell_angle_alpha 90.00
_cell_angle_beta 90.00
_cell_angle_gamma 90.00
_symmetry_space_group_name_H-M 'P 1'
_symmetry_Int_Tables_number 1
loop_
_symmetry_equiv_pos_as_xyz
'x,y,z'
loop_
_atom_site_label
_atom_site_fract_x
_atom_site_fract_y
_atom_site_fract_z
Sc1 0.0000 0.0000 0.0000
Te1 0.0000 0.5000 0.5000
Te2 0.5000 0.0000 0.5000
Te3 0.5000 0.5000 0.0000
Au1 0.5000 0.5000 0.5000
```

---

No. 10
# ScTe2Au

ScTe2Au after structural relaxation (PBE, the Alexandria database).

## Properties
E, eV per atom: -4.696
SG: Pnma
Magnetization, μB per formula unit: 0.0

The structure in CIF format:
```
data_ScTe2Au
_cell_length_a 7.4947
_cell_length_b 4.4271
_cell_length_c 14.5428
_cell_angle_alpha 90.00
_cell_angle_beta 90.00
_cell_angle_gamma 90.00
_symmetry_space_group_name_H-M 'P 1'
_symmetry_Int_Tables_number 1
loop_
_symmetry_equiv_pos_as_xyz
'x,y,z'
loop_
_atom_site_label
_atom_site_fract_x
_atom_site_fract_y
_atom_site_fract_z
Sc1 0.2355 0.2500 0.0053
Sc2 0.2645 0.7500 0.5053
Sc3 0.7355 0.2500 0.4947
Sc4 0.7645 0.7500 0.9947
Te1 0.0692 0.2500 0.6035
Te2 0.0926 0.7500 0.8905
Te3 0.4074 0.2500 0.3905
Te4 0.4308 0.7500 0.1035
Te5 0.5692 0.2500 0.8965
Te6 0.5926 0.7500 0.6095
Te7 0.9074 0.2500 0.1095
Te8 0.9308 0.7500 0.3965
Au1 0.1185 0.7500 0.7069
Au2 0.3815 0.2500 0.2069
Au3 0.6185 0.7500 0.7931
Au4 0.8815 0.2500 0.2931
```

---

No. 11
# Sc2TeAu

Sc2TeAu after structural relaxation (PBE, the Alexandria database).

## Properties
E, eV per atom: -4.927
SG: R-3m
Magnetization, μB per formula unit: 0.0

The structure in CIF format:
```
data_Sc2TeAu
_cell_length_a 9.2803
_cell_length_b 9.2803
_cell_length_c 9.2803
_cell_angle_alpha 23.49
_cell_angle_beta 23.49
_cell_angle_gamma 23.49
_symmetry_space_group_name_H-M 'P 1'
_symmetry_Int_Tables_number 1
loop_
_symmetry_equiv_pos_as_xyz
'x,y,z'
loop_
_atom_site_label
_atom_site_fract_x
_atom_site_fract_y
_atom_site_fract_z
Sc1 0.0979 0.0979 0.0979
Sc2 0.9021 0.9021 0.9021
Te1 0.5000 0.5000 0.5000
Au1 0.0000 0.0000 0.0000
```

---

No. 12
# Sc2TeAu

Sc2TeAu after structural relaxation (PBE, the Alexandria database).

## Properties
E, eV per atom: -5.547
SG: Pmmm
Magnetization, μB per formula unit: 1.2

The structure in CIF format:
```
data_Sc2TeAu
_cell_length_a 3.6331
_cell_length_b 3.6492
_cell_length_c 6.5933
_cell_angle_alpha 90.00
_cell_angle_beta 90.00
_cell_angle_gamma 90.00
_symmetry_space_group_name_H-M 'P 1'
_symmetry_Int_Tables_number 1
loop_
_symmetry_equiv_pos_as_xyz
'x,y,z'
loop_
_atom_site_label
_atom_site_fract_x
_atom_site_fract_y
_atom_site_fract_z
Sc1 0.0000 0.0000 0.2407
Sc2 0.0000 0.0000 0.7593
Te1 0.5000 0.5000 0.5000
Au1 0.5000 0.5000 0.0000
```

---

no.,E_form (uncorrected) (meV/atom)
1,89
2,-414
3,-881
4,-240
5,-713
6,-521
7,32
8,-517
9,203
10,-723
11,-156
12,-776